(1)
## Ce3AsP2 (PBE)

Data for crystalline Ce3AsP2 at its relaxed geometry.

a b c (Å): 4.474 13.594 9.891
angles (deg): 90.00 90.00 90.00
Space group Cmcm (No. 63)
Unique sites:
1 Ce 0.000 0.108 0.250 x4
2 Ce 0.000 0.367 0.054 x8
3 As 0.000 0.234 0.750 x4
4 P 0.000 0.000 0.000 x4
5 P 0.000 0.494 0.750 x4

Computed properties:
- Crystal system: orthorhombic
- Polymorph energy (0 for the lowest one): 0.0 meV/atom

***

(2)
## LiCaSbAu (PBE)

Data for crystalline LiCaSbAu at its relaxed geometry.

a b c (Å): 7.142 7.142 7.142
angles (deg): 90.00 90.00 90.00
Space group F-43m (No. 216)
Unique sites:
1 Li 0.000 0.000 0.000 x4
2 Ca 0.000 0.000 0.500 x4
3 Sb 0.250 0.250 0.250 x4
4 Au 0.250 0.250 0.750 x4

Computed properties:
- Formation energy without anion corrections: -638 meV per atom
- Crystal system: cubic

***

(3)
## Al3ZnHg (PBE)

Data for crystalline Al3ZnHg at its relaxed geometry.

a b c (Å): 4.819 4.819 4.819
angles (deg): 90.00 90.00 90.00
Space group Pm-3m (No. 221)
Unique sites:
1 Al 0.000 0.000 0.500 x3
2 Zn 0.000 0.000 0.000 x1
3 Hg 0.500 0.500 0.500 x1

Computed properties:
- Crystal system: cubic
- Polymorph energy (0 for the lowest one): 0.0 meV/atom

***

(4)
## KCrB2Cl8 (PBE)

Data for crystalline KCrB2Cl8 at its relaxed geometry.

a b c (Å): 6.0724 6.0724 27.4835
angles (deg): 90.00 90.00 120.00
Space group R-3 (No. 148, hexagonal axes)
Unique sites:
1 K 0.0000 0.0000 0.0000 x3
2 Cr 0.0000 0.0000 0.5000 x3
3 B 0.0000 0.0000 0.2484 x6
4 Cl 0.0000 0.0000 0.3161 x6
5 Cl 0.0037 0.7099 0.7734 x18

Computed properties:
- Formation energy without anion corrections: -951 meV per atom
- Crystal system: trigonal